18
Lattice="-4.4636 3.2399 -3.7883 -0.8923 -5.5222 -3.6715 -8.5939 -3.4066 7.2125" Properties=species:S:1:pos:R:3 comment="DyTm4Sc4 (PBE, relaxed)" e_form_ev_per_atom=0.2828 dos_at_fermi_per_ev_fu=16.17 e_tot_ev_per_atom=-5.030 sg="P4_2/nmc, No. 137" e_above_lowest_polymorph_ev_per_atom=0.231 rho_g_cm3=6.441 pbc="T T T"
Tm -9.0890 -2.3497 2.7905
Tm -3.4952 -0.0938 0.9905
Tm -3.4797 -2.7507 -1.1142
Tm -9.5492 -5.1977 0.8970
Tm -5.6568 1.4752 -0.8440
Tm -6.9119 -6.5756 2.5204
Tm -6.4798 -3.9013 4.2983
Tm -5.7817 -1.0798 -3.0679
Sc -4.4555 -5.4738 0.5684
Sc -4.0676 -3.0733 2.1643
Sc -6.0402 -0.9784 2.9396
Sc -9.5286 -5.2726 4.1492
Sc -3.4117 -2.8930 -4.3635
Sc -12.0519 -3.4411 2.0077
Sc -2.9073 0.2288 -2.2880
Sc -7.9805 0.4299 1.2929
Dy 0.0000 0.0000 0.0000
Dy -6.9749 -2.8445 -0.1236